# 1
Compound: Li6PS5Cl
Source: Alexandria via LeMat-Bulk
Functional: PBE
Structure: optimized geometry

Unit cell a=7.277 b=7.277 c=7.277 alpha=60.00 beta=60.00 gamma=60.00
Atoms (fractional coordinates):
Li 0.227 0.227 0.773
Li 0.227 0.773 0.227
Li 0.227 0.773 0.773
Li 0.773 0.227 0.227
Li 0.773 0.227 0.773
Li 0.773 0.773 0.227
P 0.750 0.750 0.750
S 0.000 0.000 0.000
S 0.096 0.635 0.635
S 0.635 0.096 0.635
S 0.635 0.635 0.096
S 0.635 0.635 0.635
Cl 0.250 0.250 0.250

Calculated values
The total energy comes out at -4.107 eV/atom.

# 2
Compound: Li20Si3P3S23Cl
Source: Alexandria via LeMat-Bulk
Functional: PBE
Structure: optimized geometry

Unit cell a=8.974 b=8.715 c=12.669 alpha=90.00 beta=91.70 gamma=90.00
Atoms (fractional coordinates):
Li 0.000 0.000 0.000
Li 0.002 0.000 0.488
Li 0.247 0.251 0.942
Li 0.247 0.749 0.942
Li 0.260 0.253 0.415
Li 0.260 0.747 0.415
Li 0.274 0.194 0.182
Li 0.274 0.806 0.182
Li 0.309 0.239 0.657
Li 0.309 0.761 0.657
Li 0.473 0.500 0.369
Li 0.497 0.500 0.890
Li 0.710 0.250 0.379
Li 0.710 0.750 0.379
Li 0.738 0.250 0.900
Li 0.738 0.750 0.900
Li 0.746 0.249 0.136
Li 0.746 0.751 0.136
Li 0.856 0.283 0.659
Li 0.856 0.717 0.659
Si 0.002 0.000 0.239
Si 0.507 0.500 0.125
Si 0.539 0.500 0.607
P 0.000 0.000 0.749
P 0.028 0.500 0.441
P 0.490 0.000 0.928
S 0.002 0.199 0.840
S 0.002 0.801 0.840
S 0.006 0.199 0.142
S 0.006 0.801 0.142
S 0.057 0.305 0.534
S 0.057 0.695 0.534
S 0.182 0.000 0.655
S 0.194 0.500 0.332
S 0.214 0.000 0.330
S 0.306 0.500 0.029
S 0.310 0.000 0.027
S 0.478 0.195 0.837
S 0.478 0.805 0.837
S 0.507 0.294 0.523
S 0.507 0.706 0.523
S 0.517 0.301 0.224
S 0.517 0.699 0.224
S 0.690 0.000 0.012
S 0.701 0.500 0.025
S 0.714 0.500 0.721
S 0.809 0.000 0.658
S 0.816 0.000 0.341
S 0.825 0.500 0.365
Cl 0.338 0.500 0.715

Calculated values
The total energy comes out at -4.383 eV/atom.

# 3
Compound: LiSbP2Cl
Source: Alexandria via LeMat-Bulk
Functional: PBE
Structure: optimized geometry

Unit cell a=5.097 b=5.097 c=5.556 alpha=90.00 beta=90.00 gamma=90.00
Atoms (fractional coordinates):
Li 0.000 0.000 0.000
Sb 0.500 0.500 0.500
P 0.000 0.500 0.500
P 0.500 0.000 0.500
Cl 0.500 0.500 0.000

Calculated values
The value obtained for the relative energy among the computed polymorphs is 0.0 meV/atom. The total energy comes out at -3.360 eV/atom.

Calculated values (eV/atom) of formation energy without anion corrections for the records, taken in order: -1.079, -1.032, 0.381.